No. 1
HoZn2Cu | GGA-PBEsol | optimized geometry Values from VASP.

Summary:
Formation energy   -7.85 kcal/mol of atoms

Structure (Quantum ESPRESSO input):
```
&SYSTEM
  ibrav = 0, nat = 8, ntyp = 3
/
ATOMIC_SPECIES
Ho 164.93 Ho.upf
Zn 65.41 Zn.upf
Cu 63.55 Cu.upf
CELL_PARAMETERS angstrom
2.067 -4.667 0.000
2.067 4.667 0.000
0.000 0.000 6.860
ATOMIC_POSITIONS crystal
Ho 0.073 0.927 0.750
Ho 0.927 0.073 0.250
Zn 0.363 0.637 0.558
Zn 0.363 0.637 0.942
Zn 0.637 0.363 0.058
Zn 0.637 0.363 0.442
Cu 0.218 0.782 0.250
Cu 0.782 0.218 0.750
```

***

No. 2
YOsN2O | GGA-PBEsol | optimized geometry Values from VASP.

Summary:
Uncorrected formation energy   7.361 eV/f.u.

Structure (Quantum ESPRESSO input):
```
&SYSTEM
  ibrav = 0, nat = 5, ntyp = 4
/
ATOMIC_SPECIES
Y 88.91 Y.upf
Os 190.23 Os.upf
N 14.01 N.upf
O 16.00 O.upf
CELL_PARAMETERS angstrom
4.279 0.000 0.000
0.000 4.279 0.000
0.000 0.000 4.091
ATOMIC_POSITIONS crystal
Y 0.000 0.000 0.000
Os 0.500 0.500 0.500
N 0.000 0.500 0.000
N 0.500 0.000 0.000
O 0.000 0.000 0.500
```

***

Number 1: total moment 0.00 μB/f.u.. Number 2: total moment 3.85 μB/f.u..